Here is a relaxed ZrCuPdPt crystal from the Open Quantum Materials Database. Energies are from PBE-GGA. Values from VASP.

Geometry as Quantum ESPRESSO input:
```
&SYSTEM
  ibrav = 0, nat = 4, ntyp = 4
/
ATOMIC_SPECIES
Pd 106.42 Pd.upf
Zr 91.22 Zr.upf
Pt 195.08 Pt.upf
Cu 63.55 Cu.upf
CELL_PARAMETERS angstrom
-2.016 2.016 3.948
2.016 -2.016 3.948
2.016 2.016 -3.948
ATOMIC_POSITIONS angstrom
Pd 0.000 2.016 1.974
Zr 0.000 0.000 3.948
Pt 2.016 0.000 1.974
Cu 0.000 0.000 0.000
```

Calculated formation energy, meV/atom: -721

***

Here is a relaxed KDyCuSe5 crystal from the Open Quantum Materials Database. Energies are from PBE-GGA. Values from VASP.

Geometry as Quantum ESPRESSO input:
```
&SYSTEM
  ibrav = 0, nat = 16, ntyp = 4
/
ATOMIC_SPECIES
Se 78.96 Se.upf
Dy 162.50 Dy.upf
K 39.10 K.upf
Cu 63.55 Cu.upf
CELL_PARAMETERS angstrom
6.587 0.000 0.000
0.000 8.188 0.000
-3.083 0.000 8.614
ATOMIC_POSITIONS angstrom
Se 3.170 4.155 2.021
Se 4.540 2.047 1.709
Dy -1.542 4.094 4.307
K -1.724 2.047 8.507
Cu 0.868 6.141 5.300
Se 0.038 6.141 3.056
Dy -1.542 0.000 4.307
Se 3.465 2.047 5.558
Se 0.221 2.047 3.193
Se 0.334 0.061 6.593
Se 3.283 6.141 5.420
Se -1.036 6.141 6.905
Se 0.334 4.033 6.593
K 5.228 6.141 0.107
Cu 2.636 2.047 3.314
Se 3.170 8.127 2.021
```

E_tot, eV/cell: -65.7

***

Here is a relaxed ErAlIr crystal from the Open Quantum Materials Database. Energies are from PBE-GGA. Values from VASP.

Geometry as Quantum ESPRESSO input:
```
&SYSTEM
  ibrav = 0, nat = 6, ntyp = 3
/
ATOMIC_SPECIES
Al 26.98 Al.upf
Er 167.26 Er.upf
Ir 192.22 Ir.upf
CELL_PARAMETERS angstrom
-4.356 0.450 0.522
2.152 -3.221 2.108
1.072 4.198 5.321
ATOMIC_POSITIONS angstrom
Al 0.513 0.079 4.211
Er 0.266 1.043 1.322
Er 0.802 3.142 3.983
Ir -1.643 1.354 3.748
Ir -0.010 -1.968 1.616
Al -1.120 3.402 6.343
```

E_tot, eV/cell: -39.3

***

Here is a relaxed TaN crystal from the Open Quantum Materials Database. Energies are from PBE-GGA. Values from VASP.

Geometry as Quantum ESPRESSO input:
```
&SYSTEM
  ibrav = 0, nat = 2, ntyp = 2
/
ATOMIC_SPECIES
Ta 180.95 Ta.upf
N 14.01 N.upf
CELL_PARAMETERS angstrom
-1.038 -2.676 -0.651
-0.022 0.950 2.786
-2.641 1.123 -0.404
ATOMIC_POSITIONS angstrom
Ta -1.021 0.022 1.539
N -2.680 -0.626 0.192
```

E_tot, eV/cell: -22.5

***

Here is a relaxed Pr3Mg3TlAgAu crystal from the Open Quantum Materials Database. Energies are from PBE-GGA. Values from VASP.

Geometry as Quantum ESPRESSO input:
```
&SYSTEM
  ibrav = 0, nat = 9, ntyp = 5
/
ATOMIC_SPECIES
Pr 140.91 Pr.upf
Mg 24.30 Mg.upf
Tl 204.38 Tl.upf
Ag 107.87 Ag.upf
Au 196.97 Au.upf
CELL_PARAMETERS angstrom
7.969 0.000 0.000
-3.985 6.902 0.000
0.000 0.000 4.285
ATOMIC_POSITIONS angstrom
Pr 0.690 6.798 0.000
Mg -2.077 6.890 2.142
Tl 3.985 2.301 2.142
Ag 0.000 0.000 0.000
Mg 3.021 5.255 2.142
Pr -2.248 4.100 0.000
Mg -0.944 1.658 2.142
Pr 1.558 2.905 0.000
Au 0.000 4.601 2.142
```

E_tot, eV/cell: -31.2

***

Here is a relaxed ScGeOs crystal from the Open Quantum Materials Database. Energies are from PBE-GGA. Values from VASP.

Geometry as Quantum ESPRESSO input:
```
&SYSTEM
  ibrav = 0, nat = 3, ntyp = 3
/
ATOMIC_SPECIES
Os 190.23 Os.upf
Sc 44.96 Sc.upf
Ge 72.64 Ge.upf
CELL_PARAMETERS angstrom
0.000 3.062 3.062
3.062 0.000 3.062
3.062 3.062 0.000
ATOMIC_POSITIONS angstrom
Os 0.000 0.000 0.000
Sc 4.593 4.593 4.593
Ge 1.531 1.531 1.531
```

E_tot, eV/cell: -22.7

***

Number 1: M_tot 0.00 μB per cell. Number 2: M_tot 0.00 μB per cell. Number 3: M_tot 0.00 μB per cell. Number 4: M_tot 0.00 μB per cell. Number 5: M_tot 0.01 μB per cell. Number 6: M_tot 0.01 μB per cell.